[1]
Material: Li2IF
Method: DFT, PBE
State: optimized geometry

Results
- space group = R3m (160)
- magnetic moment (μB per atom) = 0.000
- formation energy (no corrections) (eV/atom) = -1.848

Lattice parameters (Å, degrees): 6.790 6.790 6.790 33.92 33.92 33.92
Sites, in units of the cell vectors:
Li: 0.000 0.000 0.000
Li: 0.453 0.453 0.453
I: 0.855 0.855 0.855
F: 0.358 0.358 0.358


[2]
Material: Li4I3F
Method: DFT, PBE
State: optimized geometry

Results
- space group = Imm2 (44)
- magnetic moment (μB per atom) = 0.000
- formation energy (no corrections) (eV/atom) = -1.559

Lattice parameters (Å, degrees): 6.579 6.579 6.579 122.39 91.67 115.80
Sites, in units of the cell vectors:
Li: 0.190 0.000 0.190
Li: 0.270 0.010 0.740
Li: 0.270 0.530 0.260
Li: 0.810 0.000 0.810
I: 0.341 0.607 0.733
I: 0.601 0.101 0.500
I: 0.874 0.607 0.267
F: 0.131 0.131 0.000


[3]
Material: Li2IF
Method: DFT, PBE
State: optimized geometry

Results
- space group = Fm-3m (225)
- magnetic moment (μB per atom) = 0.000
- formation energy (no corrections) (eV/atom) = -1.563

Lattice parameters (Å, degrees): 4.662 4.662 4.662 60.00 60.00 60.00
Sites, in units of the cell vectors:
Li: 0.250 0.250 0.250
Li: 0.750 0.750 0.750
I: 0.000 0.000 0.000
F: 0.500 0.500 0.500


[4]
Material: Li2IF
Method: DFT, PBE
State: optimized geometry

Results
- space group = R-3m (166)
- magnetic moment (μB per atom) = 0.000
- formation energy (no corrections) (eV/atom) = -1.758

Lattice parameters (Å, degrees): 6.206 6.206 6.206 35.34 35.34 35.34
Sites, in units of the cell vectors:
Li: 0.228 0.228 0.228
Li: 0.772 0.772 0.772
I: 0.000 0.000 0.000
F: 0.500 0.500 0.500